Record 1
DFT (PBE) results for ZnCd4Ru after structural relaxation.

```
data_ZnCd4Ru
_space_group_name_H-M_alt 'F -4 3 m'
_space_group_IT_number 216
_space_group_name_Hall 'F -4 2 3'
_cell_length_a 7.806
_cell_length_b 7.806
_cell_length_c 7.806
_cell_angle_alpha 90.00
_cell_angle_beta 90.00
_cell_angle_gamma 90.00
loop_
_atom_site_label
_atom_site_fract_x
_atom_site_fract_y
_atom_site_fract_z
_atom_site_occupancy
Zn1 0.000 0.000 0.000 1
Cd1 0.125 0.125 0.625 1
Ru1 0.250 0.250 0.250 1
```

Summary:
**Energy of formation from the pure elements**: 3.05 eV/f.u.



Record 2
DFT (PBE) results for NdUTc2 after structural relaxation.

```
data_NdUTc2
_space_group_name_H-M_alt 'R -3 m'
_space_group_IT_number 166
_space_group_name_Hall '-R 3 2"'
_cell_length_a 3.3736
_cell_length_b 3.3736
_cell_length_c 25.7363
_cell_angle_alpha 90.00
_cell_angle_beta 90.00
_cell_angle_gamma 120.00
loop_
_atom_site_label
_atom_site_fract_x
_atom_site_fract_y
_atom_site_fract_z
_atom_site_occupancy
Nd1 0.0000 0.0000 0.0000 1
U1 0.0000 0.0000 0.5000 1
Tc1 0.0000 0.0000 0.2336 1
```

Summary:
**Offset from the most stable computed form**: 191 meV per atom
**Energy of formation from the pure elements**: 0.47 eV/f.u.